Model A:
Compound: Tb2GdTh
Source: Alexandria via LeMat-Bulk
Functional: PBE
Structure: relaxed

Cell: 5.015 5.057 5.057 Å, 90.00 90.00 90.00°
Last column: magnetic moment on the atom in μB.
Atoms (fractional coordinates):
Tb1 0.000 0.500 0.000  0.02
Gd1 0.500 0.500 0.500  7.16
Th1 0.500 0.000 0.000  -0.01
Tb2 0.000 0.000 0.500  0.02

Results
SG   P4/mmm
Crystal system   tetragonal
Total magnetization   7.42 μB/cell

---

Model B:
Compound: Tb2GdTh
Source: Alexandria via LeMat-Bulk
Functional: PBE
Structure: relaxed

Cell: 5.682 5.682 5.682 Å, 60.00 60.00 60.00°
Last column: magnetic moment on the atom in μB.
Atoms (fractional coordinates):
Th1 0.000 0.000 0.000  -0.04
Gd1 0.500 0.500 0.500  7.23
Tb1 0.250 0.250 0.250  0.06
Tb2 0.750 0.750 0.750  0.06

Results
SG   Fm-3m
Crystal system   cubic
Total magnetization   7.61 μB/cell

---

It is model A that is most stable; the runner-up trails by 111 meV/atom.

---

Model A:
Compound: TbGd2Tl
Source: Alexandria via LeMat-Bulk
Functional: PBE
Structure: relaxed

Cell: 5.501 5.501 5.501 Å, 60.00 60.00 60.00°
Last column: magnetic moment on the atom in μB.
Atoms (fractional coordinates):
Gd1 0.750 0.750 0.750  7.31
Gd2 0.250 0.250 0.250  7.31
Tb1 0.000 0.000 0.000  0.41
Tl1 0.500 0.500 0.500  -0.01

Results
SG   Fm-3m
Crystal system   cubic
Total magnetization   15.86 μB/cell

---

Model B:
Compound: TbGd2Tl
Source: Alexandria via LeMat-Bulk
Functional: PBE
Structure: relaxed

Cell: 4.922 4.854 4.854 Å, 90.00 90.00 90.00°
Last column: magnetic moment on the atom in μB.
Atoms (fractional coordinates):
Gd1 0.000 0.000 0.500  7.34
Tl1 0.500 0.000 0.000  -0.04
Tb1 0.500 0.500 0.500  0.29
Gd2 0.000 0.500 0.000  7.34

Results
SG   P4/mmm
Crystal system   tetragonal
Total magnetization   15.58 μB/cell

---

It is model B that is most stable; the runner-up trails by 145 meV/atom.

---

Model A:
Compound: TbGd2Tl
Source: Alexandria via LeMat-Bulk
Functional: PBE
Structure: relaxed

Cell: 3.547 3.547 12.296 Å, 81.71 81.71 60.00°
Last column: magnetic moment on the atom in μB.
Atoms (fractional coordinates):
Tb1 0.500 0.500 0.500  -0.12
Gd1 0.911 0.911 0.266  7.22
Tl1 0.000 0.000 0.000  0.01
Gd2 0.089 0.089 0.734  7.22

Results
SG   R-3m
Crystal system   trigonal
Total magnetization   14.85 μB/cell

---

Model B:
Compound: TbGd2Tl
Source: Alexandria via LeMat-Bulk
Functional: PBE
Structure: relaxed

Cell: 3.634 3.634 9.244 Å, 90.00 90.00 90.00°
Last column: magnetic moment on the atom in μB.
Atoms (fractional coordinates):
Gd1 0.000 0.000 0.769  7.14
Tl1 0.500 0.500 0.000  0.00
Tb1 0.500 0.500 0.500  0.02
Gd2 0.000 0.000 0.231  7.14

Results
SG   P4/mmm
Crystal system   tetragonal
Total magnetization   14.80 μB/cell

---

It is model B that is most stable; the runner-up trails by 247 meV/atom.

---

Model A:
Compound: TbGdTl
Source: Alexandria via LeMat-Bulk
Functional: PBE
Structure: relaxed

Cell: 5.215 5.215 5.215 Å, 60.00 60.00 60.00°
Last column: magnetic moment on the atom in μB.
Atoms (fractional coordinates):
Tl1 0.250 0.250 0.250  0.00
Gd1 0.500 0.500 0.500  7.25
Tb1 0.000 0.000 0.000  0.26

Results
SG   F-43m
Crystal system   cubic
Total magnetization   8.05 μB/cell

---

Model B:
Compound: TbGdTl
Source: Alexandria via LeMat-Bulk
Functional: PBE
Structure: relaxed

Cell: 3.700 3.700 7.029 Å, 105.26 105.26 90.00°
Last column: magnetic moment on the atom in μB.
Atoms (fractional coordinates):
Gd1 0.608 0.608 0.215  7.26
Tb1 0.294 0.294 0.588  0.18
Tl1 0.948 0.948 0.897  0.00

Results
SG   I4mm
Crystal system   tetragonal
Total magnetization   7.92 μB/cell

---

It is model B that is most stable; the runner-up trails by 173 meV/atom.

---

Model A:
Compound: Tb2GdTl
Source: Alexandria via LeMat-Bulk
Functional: PBE
Structure: relaxed

Cell: 4.839 4.887 4.887 Å, 90.00 90.00 90.00°
Last column: magnetic moment on the atom in μB.
Atoms (fractional coordinates):
Tb1 0.000 0.000 0.500  0.22
Gd1 0.500 0.500 0.500  7.30
Tl1 0.500 0.000 0.000  -0.02
Tb2 0.000 0.500 0.000  0.22

Results
SG   P4/mmm
Crystal system   tetragonal
Total magnetization   8.12 μB/cell

---

Model B:
Compound: Tb2GdTl
Source: Alexandria via LeMat-Bulk
Functional: PBE
Structure: relaxed

Cell: 5.476 5.476 5.476 Å, 60.00 60.00 60.00°
Last column: magnetic moment on the atom in μB.
Atoms (fractional coordinates):
Tb1 0.250 0.250 0.250  -0.28
Gd1 0.000 0.000 0.000  -7.44
Tb2 0.750 0.750 0.750  -0.28
Tl1 0.500 0.500 0.500  0.01

Results
SG   Fm-3m
Crystal system   cubic
Total magnetization   8.51 μB/cell

---

Model C:
Compound: Tb2GdTl
Source: Alexandria via LeMat-Bulk
Functional: PBE
Structure: relaxed

Cell: 3.637 3.637 9.143 Å, 90.00 90.00 90.00°
Last column: magnetic moment on the atom in μB.
Atoms (fractional coordinates):
Tl1 0.500 0.500 0.000  0.00
Tb1 0.000 0.000 0.772  -0.03
Gd1 0.500 0.500 0.500  7.17
Tb2 0.000 0.000 0.228  -0.03

Results
SG   P4/mmm
Crystal system   tetragonal
Total magnetization   7.36 μB/cell

---

It is model A that is most stable; the runner-up trails by 45 meV/atom.

---

Model A:
Compound: TbGdTl2
Source: Alexandria via LeMat-Bulk
Functional: PBE
Structure: relaxed

Cell: 5.404 5.404 5.404 Å, 60.00 60.00 60.00°
Last column: magnetic moment on the atom in μB.
Atoms (fractional coordinates):
Tb1 0.000 0.000 0.000  0.12
Gd1 0.500 0.500 0.500  7.10
Tl1 0.250 0.250 0.250  -0.02
Tl2 0.750 0.750 0.750  -0.02

Results
SG   Fm-3m
Crystal system   cubic
Total magnetization   7.41 μB/cell

---

Model B:
Compound: TbGdTl2
Source: Alexandria via LeMat-Bulk
Functional: PBE
Structure: relaxed

Cell: 3.613 3.613 8.484 Å, 90.00 90.00 90.00°
Last column: magnetic moment on the atom in μB.
Atoms (fractional coordinates):
Tb1 0.500 0.500 0.500  -0.16
Tl1 0.000 0.000 0.748  -0.01
Tl2 0.000 0.000 0.252  -0.01
Gd1 0.500 0.500 0.000  7.20

Results
SG   P4/mmm
Crystal system   tetragonal
Total magnetization   7.21 μB/cell

---

It is model B that is most stable; the runner-up trails by 12 meV/atom.